# KY2TiMo, optimized geometry, DFT PBE-GGA
# VASP energy ... -23.1 eV/cell
# ΔH_f (0 K) ... 1940 meV/atom
data_KY2TiMo
_cell_length_a 5.218
_cell_length_b 5.218
_cell_length_c 4.514
_cell_angle_alpha 90.00
_cell_angle_beta 90.00
_cell_angle_gamma 90.00
_symmetry_space_group_name_H-M 'P 4/m m m'
_symmetry_Int_Tables_number 123
_symmetry_space_group_name_Hall '-P 4 2'
loop_
_atom_site_label
_atom_site_type_symbol
_atom_site_fract_x
_atom_site_fract_y
_atom_site_fract_z
K1 K 0.000 0.000 0.000
Y1 Y 0.000 0.500 0.000
Ti1 Ti 0.000 0.000 0.500
Mo1 Mo 0.500 0.500 0.500

# BeAg2Mo, optimized geometry, DFT PBE-GGA
# VASP energy ... -67.6 eV/cell
# ΔH_f (0 K) ... 843 meV/atom
data_BeAg2Mo
_cell_length_a 3.672
_cell_length_b 3.672
_cell_length_c 19.304
_cell_angle_alpha 90.00
_cell_angle_beta 90.00
_cell_angle_gamma 90.00
_symmetry_space_group_name_H-M 'I -4 2 d'
_symmetry_Int_Tables_number 122
_symmetry_space_group_name_Hall 'I -4 2bw'
loop_
_atom_site_label
_atom_site_type_symbol
_atom_site_fract_x
_atom_site_fract_y
_atom_site_fract_z
Be1 Be 0.000 0.000 0.000
Ag1 Ag 0.243 0.250 0.125
Mo1 Mo 0.000 0.000 0.500

# LaZr2Ga6, optimized geometry, DFT PBE-GGA
# VASP energy ... -88.6 eV/cell
# ΔH_f (0 K) ... -456 meV/atom
data_LaZr2Ga6
_cell_length_a 4.233
_cell_length_b 7.137
_cell_length_c 12.600
_cell_angle_alpha 90.00
_cell_angle_beta 90.00
_cell_angle_gamma 90.00
_symmetry_space_group_name_H-M 'I m m m'
_symmetry_Int_Tables_number 71
_symmetry_space_group_name_Hall '-I 2 2'
loop_
_atom_site_label
_atom_site_type_symbol
_atom_site_fract_x
_atom_site_fract_y
_atom_site_fract_z
La1 La 0.000 0.000 0.000
Zr1 Zr 0.000 0.500 0.122
Ga1 Ga 0.000 0.175 0.500
Ga2 Ga 0.000 0.284 0.308

# Tm6TlFe2, optimized geometry, DFT PBE-GGA
# VASP energy ... -190.3 eV/cell
# ΔH_f (0 K) ... -162 meV/atom
data_Tm6TlFe2
_cell_length_a 9.358
_cell_length_b 9.516
_cell_length_c 9.881
_cell_angle_alpha 90.00
_cell_angle_beta 90.00
_cell_angle_gamma 90.00
_symmetry_space_group_name_H-M 'I m m m'
_symmetry_Int_Tables_number 71
_symmetry_space_group_name_Hall '-I 2 2'
loop_
_atom_site_label
_atom_site_type_symbol
_atom_site_fract_x
_atom_site_fract_y
_atom_site_fract_z
Tm1 Tm 0.000 0.217 0.230
Tm2 Tm 0.202 0.500 0.187
Tm3 Tm 0.209 0.311 0.500
Tl1 Tl 0.000 0.000 0.000
Tl2 Tl 0.000 0.000 0.500
Fe1 Fe 0.000 0.385 0.000
Fe2 Fe 0.000 0.500 0.390

# Ba4CoTc, optimized geometry, DFT PBE-GGA
# VASP energy ... -64.6 eV/cell
# ΔH_f (0 K) ... 1502 meV/atom
data_Ba4CoTc
_cell_length_a 9.821
_cell_length_b 9.821
_cell_length_c 9.821
_cell_angle_alpha 90.00
_cell_angle_beta 90.00
_cell_angle_gamma 90.00
_symmetry_space_group_name_H-M 'F -4 3 m'
_symmetry_Int_Tables_number 216
_symmetry_space_group_name_Hall 'F -4 2 3'
loop_
_atom_site_label
_atom_site_type_symbol
_atom_site_fract_x
_atom_site_fract_y
_atom_site_fract_z
Ba1 Ba 0.125 0.125 0.125
Co1 Co 0.250 0.250 0.750
Tc1 Tc 0.000 0.000 0.500

# CeDy2Sc3, optimized geometry, DFT PBE-GGA
# VASP energy ... -67.0 eV/cell
# ΔH_f (0 K) ... 105 meV/atom
data_CeDy2Sc3
_cell_length_a 6.587
_cell_length_b 9.336
_cell_length_c 5.357
_cell_angle_alpha 90.00
_cell_angle_beta 90.00
_cell_angle_gamma 90.00
_symmetry_space_group_name_H-M 'P n n m'
_symmetry_Int_Tables_number 58
loop_
_symmetry_equiv_pos_as_xyz
'x,y,z'
'-x,-y,-z'
'-x,-y,z'
'x,y,-z'
'x+1/2,-y+1/2,-z+1/2'
'-x+1/2,y+1/2,z+1/2'
'-x+1/2,y+1/2,-z+1/2'
'x+1/2,-y+1/2,z+1/2'
loop_
_atom_site_label
_atom_site_type_symbol
_atom_site_fract_x
_atom_site_fract_y
_atom_site_fract_z
Ce1 Ce 0.000 0.000 0.000
Dy1 Dy 0.243 0.332 0.000
Sc1 Sc 0.000 0.500 0.500
Sc2 Sc 0.248 0.166 0.500